18
Lattice="-4.814 0.143 4.448 -1.123 -2.473 -5.967 3.029 -10.062 3.601" Properties=species:S:1:pos:R:3 comment="CsKWF6 PBE+U relaxed" vol_a3_per_atom=22.968 total_energy_ev_per_cell=-92.399 spacegroup="No. 163" pbc="T T T"
Cs 0.000 0.000 0.000
Cs 1.514 -5.031 1.800
F -4.029 -4.872 1.904
F 1.121 -7.521 0.178
F -4.386 -2.180 2.602
F 0.479 -9.575 2.102
F -1.258 -10.793 0.157
F -0.720 -8.736 -1.670
F -1.591 -8.048 0.985
F -2.188 -3.656 3.752
F -1.650 -1.599 1.925
F -3.387 -2.818 -0.020
F 1.479 -10.212 -0.521
F -1.317 -4.344 1.097
K -1.312 -8.276 3.677
K -1.596 -4.117 -1.595
W -0.082 -9.148 0.205
W -2.826 -3.245 1.877